DFT (PBE) results for Tb4AlNi after structural relaxation.

a b c (Å): 7.0276 7.1296 6.8299
angles (deg): 90.00 95.08 90.00
With the nearest neighbours (Å) after each atom.
Fractional positions:
Tb1 0.1560 0.1728 0.1910  2 Ni 2.75-2.84
Tb2 0.1560 0.3272 0.6910  2 Ni 2.75-2.84
Tb3 0.3221 0.6492 0.1120  1 Ni 2.56
Tb4 0.3221 0.8508 0.6120  1 Ni 2.56
Tb5 0.6779 0.1492 0.3880  1 Ni 2.56
Tb6 0.6779 0.3508 0.8880  1 Ni 2.56
Tb7 0.8440 0.6728 0.3090  2 Ni 2.75-2.84
Tb8 0.8440 0.8272 0.8090  2 Ni 2.75-2.84
Al1 0.5000 0.0000 0.0000  6 Tb 2.93-3.10
Al2 0.5000 0.5000 0.5000  6 Tb 2.93-3.10
Ni1 0.0000 0.0000 0.5000  6 Tb 2.56-2.84
Ni2 0.0000 0.5000 0.0000  6 Tb 2.56-2.84

space group = No. 14
relative energy among the computed polymorphs = 224 meV/atom


DFT (PBE) results for Tb2Al3Ni4 after structural relaxation.

a b c (Å): 8.1184 8.1184 6.8939
angles (deg): 90.00 90.00 140.56
With the nearest neighbours (Å) after each atom.
Fractional positions:
Tb1 0.1046 0.8954 0.9149  5 Ni 2.73-2.96, 2 Al 3.04
Tb2 0.3954 0.6046 0.4149  5 Ni 2.73-2.96, 2 Al 3.04
Tb3 0.6046 0.3954 0.5851  5 Ni 2.73-2.96, 2 Al 3.04
Tb4 0.8954 0.1046 0.0851  5 Ni 2.73-2.96, 2 Al 3.04
Al1 0.0000 0.0000 0.5000  6 Ni 2.46-2.61
Al2 0.0160 0.4840 0.7500  5 Ni 2.46-2.59, 2 Al 2.74
Al3 0.4840 0.0160 0.2500  5 Ni 2.46-2.59, 2 Al 2.74
Al4 0.5000 0.5000 0.0000  6 Ni 2.46-2.61
Al5 0.5160 0.9840 0.7500  5 Ni 2.46-2.59, 2 Al 2.74
Al6 0.9840 0.5160 0.2500  5 Ni 2.46-2.59, 2 Al 2.74
Ni1 0.1704 0.8296 0.5117  5 Al 2.46-2.61, 2 Ni 2.72
Ni2 0.1785 0.3215 0.7500  3 Al 2.46-2.48, 4 Ni 2.72-2.74, 2 Tb 2.73
Ni3 0.3215 0.1785 0.2500  3 Al 2.46-2.48, 4 Ni 2.72-2.74, 2 Tb 2.73
Ni4 0.3296 0.6704 0.0117  5 Al 2.46-2.61, 2 Ni 2.72
Ni5 0.6704 0.3296 0.9883  5 Al 2.46-2.61, 2 Ni 2.72
Ni6 0.6785 0.8215 0.7500  3 Al 2.46-2.48, 4 Ni 2.72-2.74, 2 Tb 2.73
Ni7 0.8215 0.6785 0.2500  3 Al 2.46-2.48, 4 Ni 2.72-2.74, 2 Tb 2.73
Ni8 0.8296 0.1704 0.4883  5 Al 2.46-2.61, 2 Ni 2.72

space group = No. 64


DFT (PBE) results for TbAlNi after structural relaxation.

a b c (Å): 8.6349 5.3166 5.3166
angles (deg): 61.25 90.00 90.00
With the nearest neighbours (Å) after each atom.
Fractional positions:
Tb1 0.1818 0.0000 0.0000  7 Ni 2.95-3.23, 4 Tb 3.14-3.26, 5 Al 3.15-3.16
Tb2 0.2894 0.6706 0.6706  5 Ni 2.91-3.11, 5 Al 3.13-3.23, 3 Tb 3.15-3.26
Tb3 0.7106 0.6706 0.6706  5 Ni 2.91-3.11, 5 Al 3.13-3.23, 3 Tb 3.15-3.26
Tb4 0.8182 0.0000 0.0000  7 Ni 2.95-3.23, 4 Tb 3.14-3.26, 5 Al 3.15-3.16
Al1 0.0000 0.4650 0.4650  6 Ni 2.51-2.81
Al2 0.5000 0.1689 0.1689  2 Ni 2.55, 4 Al 2.64-2.68
Al3 0.5000 0.1708 0.6638  2 Ni 2.56, 4 Al 2.64-2.75
Al4 0.5000 0.6638 0.1708  2 Ni 2.56, 4 Al 2.64-2.75
Ni1 0.0000 0.4756 0.9877  2 Al 2.51-2.81, 4 Ni 2.64-2.79
Ni2 0.0000 0.9877 0.4756  2 Al 2.51-2.81, 4 Ni 2.64-2.79
Ni3 0.2625 0.3352 0.3352  4 Al 2.55-2.56, 2 Ni 2.79
Ni4 0.7375 0.3352 0.3352  4 Al 2.55-2.56, 2 Ni 2.79

space group = No. 38


DFT (PBE) results for TbAlNi after structural relaxation.

a b c (Å): 8.4733 5.3707 5.3707
angles (deg): 60.50 90.00 90.00
With the nearest neighbours (Å) after each atom.
Fractional positions:
Tb1 0.1763 0.0000 0.0000  4 Tb 2.99-3.28, 7 Ni 3.04-3.13, 5 Al 3.07-3.20
Tb2 0.2932 0.3371 0.3371  5 Ni 2.93-3.22, 7 Al 3.13-3.22, 2 Tb 3.25
Tb3 0.7068 0.3371 0.3371  5 Ni 2.93-3.22, 7 Al 3.13-3.22, 2 Tb 3.25
Tb4 0.8237 0.0000 0.0000  4 Tb 2.99-3.28, 7 Ni 3.04-3.13, 5 Al 3.07-3.20
Al1 0.2397 0.6744 0.6744  4 Ni 2.56-2.68, 2 Al 2.73
Al2 0.5000 0.3296 0.8376  2 Ni 2.64-2.73, 4 Al 2.66-2.75
Al3 0.5000 0.8376 0.3296  2 Ni 2.64-2.73, 4 Al 2.66-2.75
Al4 0.7603 0.6744 0.6744  4 Ni 2.56-2.68, 2 Al 2.73
Ni1 0.0000 0.0061 0.5035  2 Al 2.56, 4 Ni 2.67-2.72
Ni2 0.0000 0.5035 0.0061  2 Al 2.56, 4 Ni 2.67-2.72
Ni3 0.0000 0.5071 0.5071  2 Al 2.56, 4 Ni 2.67-2.70
Ni4 0.5000 0.8376 0.8376  6 Al 2.64-2.73

space group = No. 38


DFT (PBE) results for Tb4AlNi after structural relaxation.

a b c (Å): 9.4925 9.4925 9.4925
angles (deg): 60.00 60.00 60.00
With the nearest neighbours (Å) after each atom.
Fractional positions:
Tb1 0.1858 0.1858 0.8142  2 Al 3.30, 2 Ni 3.44, 10 Tb 3.45-3.55
Tb2 0.1858 0.8142 0.1858  2 Al 3.30, 2 Ni 3.44, 10 Tb 3.45-3.55
Tb3 0.1858 0.8142 0.8142  2 Al 3.30, 2 Ni 3.44, 10 Tb 3.45-3.55
Tb4 0.3995 0.3995 0.3995  3 Ni 2.79
Tb5 0.3995 0.3995 0.8016  3 Ni 2.79
Tb6 0.3995 0.8016 0.3995  3 Ni 2.79
Tb7 0.5584 0.5584 0.9416  2 Ni 2.79
Tb8 0.5584 0.9416 0.5584  2 Ni 2.79
Tb9 0.5584 0.9416 0.9416  2 Ni 2.79
Tb10 0.8016 0.3995 0.3995  3 Ni 2.79
Tb11 0.8142 0.1858 0.1858  2 Al 3.30, 2 Ni 3.44, 10 Tb 3.45-3.55
Tb12 0.8142 0.1858 0.8142  2 Al 3.30, 2 Ni 3.44, 10 Tb 3.45-3.55
Tb13 0.8142 0.8142 0.1858  2 Al 3.30, 2 Ni 3.44, 10 Tb 3.45-3.55
Tb14 0.9416 0.5584 0.5584  2 Ni 2.79
Tb15 0.9416 0.5584 0.9416  2 Ni 2.79
Tb16 0.9416 0.9416 0.5584  2 Ni 2.79
Al1 0.1736 0.1736 0.1736  3 Al 2.90
Al2 0.1736 0.1736 0.4793  3 Al 2.90
Al3 0.1736 0.4793 0.1736  3 Al 2.90
Al4 0.4793 0.1736 0.1736  3 Al 2.90
Ni1 0.1782 0.6073 0.6073  6 Tb 2.79
Ni2 0.6073 0.1782 0.6073  6 Tb 2.79
Ni3 0.6073 0.6073 0.1782  6 Tb 2.79
Ni4 0.6073 0.6073 0.6073  6 Tb 2.79

space group = No. 216
relative energy among the computed polymorphs = 0 meV/atom


DFT (PBE) results for TbAlNi after structural relaxation.

a b c (Å): 5.8907 5.8907 5.8907
angles (deg): 148.89 148.89 44.57
With the nearest neighbours (Å) after each atom.
Fractional positions:
Tb1 0.0000 0.0000 0.0000  4 Ni 2.96, 5 Al 3.12-3.23, 4 Tb 3.16
Al1 0.2861 0.2861 0.0000  4 Ni 2.52
Ni1 0.6782 0.6782 0.0000  4 Al 2.52

space group = No. 107


DFT (PBE) results for TbAlNi2 after structural relaxation.

a b c (Å): 3.1643 3.1643 6.3070
angles (deg): 90.00 90.00 90.00
With the nearest neighbours (Å) after each atom.
Fractional positions:
Tb1 0.0000 0.0000 0.0000  8 Ni 2.92, 2 Al 3.15, 4 Tb 3.16
Al1 0.0000 0.0000 0.5000  8 Ni 2.57
Ni1 0.5000 0.5000 0.2986  1 Ni 2.54, 4 Al 2.57
Ni2 0.5000 0.5000 0.7014  1 Ni 2.54, 4 Al 2.57

space group = No. 123


DFT (PBE) results for Tb4AlNi2 after structural relaxation.

a b c (Å): 8.8169 8.8169 8.8169
angles (deg): 31.83 31.83 31.83
With the nearest neighbours (Å) after each atom.
Fractional positions:
Tb1 0.1170 0.1170 0.1170  3 Ni 3.01, 3 Al 3.06
Tb2 0.2936 0.2936 0.2936  4 Ni 2.80-2.91
Tb3 0.7064 0.7064 0.7064  4 Ni 2.80-2.91
Tb4 0.8830 0.8830 0.8830  3 Ni 3.01, 3 Al 3.06
Al1 0.5000 0.5000 0.5000  2 Ni 2.38
Ni1 0.4051 0.4051 0.4051  1 Al 2.38
Ni2 0.5949 0.5949 0.5949  1 Al 2.38

space group = No. 166


Per-record N(E_F), states/eV per cell: 16.0 12.6 7.3 7.2 21.4 2.5 2.7 4.5
Per-record volume, Å³/atom: 28.405 16.036 17.832 17.726 25.201 18.136 15.788 24.198
Per-record formation enthalpy at 0 K, eV/atom: -0.097 -0.565 -0.503 -0.507 -0.321 -0.389 -0.404 -0.250